Compound: Li3SbP2O8
Source: Alexandria
Functional: PBEsol
Structure: relaxed

a = 7.295 Å, b = 8.365 Å, c = 8.365 Å
α = 120.00°, β = 90.00°, γ = 90.00°
Fractional positions:
Li (0.857, 0.653, 0.653)
Li (0.857, 0.000, 0.347)
Li (0.000, 0.000, 0.000)
Li (0.011, 0.667, 0.333)
Li (0.143, 0.653, 0.000)
Li (0.857, 0.347, 0.000)
Li (0.989, 0.333, 0.667)
Li (0.143, 0.000, 0.653)
Li (0.143, 0.347, 0.347)
Sb (0.500, 0.000, 0.000)
Sb (0.468, 0.667, 0.333)
Sb (0.532, 0.333, 0.667)
P (0.748, 0.984, 0.674)
P (0.748, 0.691, 0.016)
P (0.748, 0.326, 0.309)
P (0.252, 0.674, 0.691)
P (0.252, 0.309, 0.984)
P (0.252, 0.016, 0.326)
O (0.213, 0.882, 0.786)
O (0.908, 0.854, 0.566)
O (0.571, 0.872, 0.647)
O (0.271, 0.592, 0.474)
O (0.271, 0.882, 0.408)
O (0.213, 0.904, 0.118)
O (0.571, 0.353, 0.225)
O (0.787, 0.786, 0.904)
O (0.571, 0.775, 0.128)
O (0.908, 0.712, 0.146)
O (0.908, 0.434, 0.288)
O (0.271, 0.526, 0.118)
O (0.729, 0.474, 0.882)
O (0.092, 0.566, 0.712)
O (0.092, 0.288, 0.854)
O (0.429, 0.225, 0.872)
O (0.213, 0.214, 0.096)
O (0.429, 0.647, 0.775)
O (0.787, 0.096, 0.882)
O (0.729, 0.118, 0.592)
O (0.729, 0.408, 0.526)
O (0.429, 0.128, 0.353)
O (0.092, 0.146, 0.434)
O (0.787, 0.118, 0.214)

Calculated values
The space group is P-3, No. 147. The calculation puts the total energy at -282.212 eV for the cell shown. The uncorrected formation energy comes out at -207.00 kJ per mole of atoms. The relative energy among the computed polymorphs comes out at 7 meV per atom.